1.
! Sr2IrCI | Alexandria | PBE | relaxed; values from VASP
! - Calculated density: 6.62 g cm⁻³
! - E_tot: -25.87 eV for the cell shown
! - Total moment: 0.00 μB per formula unit
! - E_form (uncorrected): -0.57 eV/atom
! - DOS at the Fermi energy: 0.24 states/eV/atom
&SYSTEM
  ibrav = 0, nat = 5, ntyp = 4
/
ATOMIC_SPECIES
Sr 87.62 Sr.upf
Ir 192.22 Ir.upf
C 12.01 C.upf
I 126.90 I.upf
ATOMIC_POSITIONS crystal
Sr 0.000 0.500 0.000
Sr 0.500 0.000 0.000
Ir 0.000 0.000 0.500
C 0.000 0.000 0.000
I 0.500 0.500 0.500
CELL_PARAMETERS angstrom
5.698 0.000 0.000
0.000 5.698 0.000
0.000 0.000 3.914

***

2.
! Tm12Ni6Pd | Alexandria | PBE | relaxed; values from VASP
! - Calculated density: 9.72 g cm⁻³
! - E_tot: -101.02 eV for the cell shown
! - Total moment: 0.00 μB per formula unit
! - ΔH_f (0 K): -0.3935 eV/atom
! - DOS at the Fermi energy: 1.30 states/eV/atom
&SYSTEM
  ibrav = 0, nat = 19, ntyp = 3
/
ATOMIC_SPECIES
Tm 168.93 Tm.upf
Ni 58.69 Ni.upf
Pd 106.42 Pd.upf
ATOMIC_POSITIONS crystal
Tm 0.114 0.815 0.299
Tm 0.185 0.299 0.485
Tm 0.185 0.701 0.886
Tm 0.299 0.114 0.815
Tm 0.299 0.485 0.185
Tm 0.485 0.185 0.299
Tm 0.515 0.815 0.701
Tm 0.701 0.515 0.815
Tm 0.701 0.886 0.185
Tm 0.815 0.299 0.114
Tm 0.815 0.701 0.515
Tm 0.886 0.185 0.701
Ni 0.127 0.627 0.500
Ni 0.373 0.500 0.873
Ni 0.500 0.127 0.627
Ni 0.500 0.873 0.373
Ni 0.627 0.500 0.127
Ni 0.873 0.373 0.500
Pd 0.000 0.000 0.000
CELL_PARAMETERS angstrom
-4.735 4.735 4.735
4.735 -4.735 4.735
4.735 4.735 -4.735

***

3.
! Li2MnTc | Alexandria | PBE | relaxed; values from VASP
! - Calculated density: 4.71 g cm⁻³
! - E_tot: -22.41 eV for the cell shown
! - Total moment: 1.57 μB per formula unit
! - ΔH_f (0 K): 0.2395 eV/atom
! - DOS at the Fermi energy: 0.93 states/eV/atom
&SYSTEM
  ibrav = 0, nat = 4, ntyp = 3
/
ATOMIC_SPECIES
Li 6.94 Li.upf
Mn 54.94 Mn.upf
Tc 98.00 Tc.upf
ATOMIC_POSITIONS crystal
Li 0.000 0.000 0.000
Li 0.500 0.500 0.284
Mn 0.000 0.000 0.549
Tc 0.500 0.500 0.726
CELL_PARAMETERS angstrom
2.962 0.000 0.000
0.000 2.962 0.000
0.000 0.000 6.708